No. 1
# PBE RbSrTe2O, relaxed
# * total moment: 0.00 μB per formula unit
# * uncorrected energy: -3.7426 eV per atom
# * raw formation energy: -964 meV/atom
data_RbSrTe2O
_chemical_formula_sum 'Rb1 Sr1 Te2 O1'
_cell_length_a 5.577
_cell_length_b 5.577
_cell_length_c 4.776
_cell_angle_alpha 90.00
_cell_angle_beta 90.00
_cell_angle_gamma 90.00
_space_group_name_H-M_alt 'P 4/m m m'
_space_group_IT_number 123
_space_group_name_Hall '-P 4 2'
loop_
_atom_site_label
_atom_site_fract_x
_atom_site_fract_y
_atom_site_fract_z
Rb1 0.000 0.000 0.000
Sr1 0.500 0.500 0.000
Te1 0.000 0.500 0.500
O1 0.500 0.500 0.500

No. 2
# PBE CsNa2GePd, relaxed
# * total moment: 0.00 μB per formula unit
# * uncorrected energy: -2.7978 eV per atom
data_CsNa2GePd
_chemical_formula_sum 'Cs1 Na2 Ge1 Pd1'
_cell_length_a 5.725
_cell_length_b 5.725
_cell_length_c 4.810
_cell_angle_alpha 90.00
_cell_angle_beta 90.00
_cell_angle_gamma 90.00
_space_group_name_H-M_alt 'P 4/m m m'
_space_group_IT_number 123
_space_group_name_Hall '-P 4 2'
loop_
_atom_site_label
_atom_site_fract_x
_atom_site_fract_y
_atom_site_fract_z
Cs1 0.000 0.000 0.000
Na1 0.000 0.500 0.500
Ge1 0.500 0.500 0.000
Pd1 0.500 0.500 0.500

No. 3
# PBE La2TlCrN, relaxed
# * total moment: 2.48 μB per formula unit
# * uncorrected energy: -6.5844 eV per atom
# * raw formation energy: -550 meV/atom
data_La2TlCrN
_chemical_formula_sum 'La2 Tl1 Cr1 N1'
_cell_length_a 5.457
_cell_length_b 5.457
_cell_length_c 3.869
_cell_angle_alpha 90.00
_cell_angle_beta 90.00
_cell_angle_gamma 90.00
_space_group_name_H-M_alt 'P 4/m m m'
_space_group_IT_number 123
_space_group_name_Hall '-P 4 2'
loop_
_atom_site_label
_atom_site_fract_x
_atom_site_fract_y
_atom_site_fract_z
La1 0.000 0.500 0.000
Tl1 0.000 0.000 0.500
Cr1 0.500 0.500 0.500
N1 0.500 0.500 0.000

No. 4
# PBE PuTi5Sb6, relaxed
# * total moment: 5.67 μB per formula unit
# * uncorrected energy: -6.9047 eV per atom
# * raw formation energy: -360 meV/atom
data_PuTi5Sb6
_chemical_formula_sum 'Pu2 Ti10 Sb12'
_cell_length_a 6.916
_cell_length_b 12.075
_cell_length_c 7.061
_cell_angle_alpha 90.00
_cell_angle_beta 109.55
_cell_angle_gamma 90.00
_space_group_name_H-M_alt 'C 1 2/m 1'
_space_group_IT_number 12
loop_
_space_group_symop_operation_xyz
'x,y,z'
'-x,-y,-z'
'-x,y,-z'
'x,-y,z'
'x+1/2,y+1/2,z'
'-x+1/2,-y+1/2,-z'
'-x+1/2,y+1/2,-z'
'x+1/2,-y+1/2,z'
loop_
_atom_site_label
_atom_site_fract_x
_atom_site_fract_y
_atom_site_fract_z
Pu1 0.000 0.000 0.000
Ti1 0.000 0.147 0.500
Ti2 0.000 0.324 0.000
Ti3 0.000 0.500 0.500
Sb1 0.223 0.500 0.244
Sb2 0.232 0.324 0.730

- Which value of total moment does entry 2 give?
  0.00 μB per formula unit